[1]
A plane-wave DFT calculation with PBE-GGA was carried out for a relaxed RbNbInCl6 crystal.

Lattice parameters (Å, degrees): 7.4872 7.4872 13.0417 90.00 90.00 120.00
Space group P-31c (No. 163)
Asymmetric unit:
1 Rb 0.0000 0.0000 0.0000
2 Nb 0.3333 0.6667 0.2500
3 In 0.3333 0.6667 0.7500
4 Cl 0.0627 0.4015 0.1426

[2]
A plane-wave DFT calculation with PBE-GGA was carried out for a relaxed RbNbIn2Cl8 crystal.

Lattice parameters (Å, degrees): 6.363 7.806 9.138 90.15 90.01 112.68
Space group P-1 (No. 2)
Asymmetric unit:
1 Rb 0.000 0.000 0.000
2 Nb 0.000 0.000 0.500
3 In 0.002 0.501 0.237
4 Cl 0.228 0.820 0.501
5 Cl 0.234 0.205 0.686
6 Cl 0.236 0.204 0.315
7 Cl 0.259 0.707 0.000

[3]
A plane-wave DFT calculation with PBE-GGA was carried out for a relaxed NbIn2RhCl crystal.

Lattice parameters (Å, degrees): 5.194 5.194 4.367 90.00 90.00 90.00
Space group P4/mmm (No. 123)
Asymmetric unit:
1 Nb 0.000 0.000 0.000
2 In 0.000 0.500 0.500
3 Rh 0.500 0.500 0.000
4 Cl 0.500 0.500 0.500

[4]
A plane-wave DFT calculation with PBE-GGA was carried out for a relaxed NbInRuCl2 crystal.

Lattice parameters (Å, degrees): 4.782 4.782 5.568 90.00 90.00 90.00
Space group P4/mmm (No. 123)
Asymmetric unit:
1 Nb 0.000 0.000 0.000
2 In 0.500 0.500 0.500
3 Ru 0.500 0.500 0.000
4 Cl 0.000 0.500 0.500

[5]
A plane-wave DFT calculation with PBE-GGA was carried out for a relaxed NbIn2SnCl crystal.

Lattice parameters (Å, degrees): 5.594 5.594 4.658 90.00 90.00 90.00
Space group P4/mmm (No. 123)
Asymmetric unit:
1 Nb 0.000 0.000 0.000
2 In 0.000 0.500 0.000
3 Sn 0.500 0.500 0.500
4 Cl 0.000 0.000 0.500

[6]
A plane-wave DFT calculation with PBE-GGA was carried out for a relaxed NbTlInCl2 crystal.

Lattice parameters (Å, degrees): 5.359 5.359 5.815 90.00 90.00 90.00
Space group P4/mmm (No. 123)
Asymmetric unit:
1 Nb 0.000 0.000 0.000
2 Tl 0.500 0.500 0.000
3 In 0.500 0.500 0.500
4 Cl 0.000 0.500 0.500

[7]
A plane-wave DFT calculation with PBE-GGA was carried out for a relaxed NbTlInCl6 crystal.

Lattice parameters (Å, degrees): 7.5927 7.5927 11.9438 90.00 90.00 120.00
Space group P-31c (No. 163)
Asymmetric unit:
1 Nb 0.3333 0.6667 0.2500
2 Tl 0.3333 0.6667 0.7500
3 In 0.0000 0.0000 0.0000
4 Cl 0.0712 0.4033 0.1318

[8]
A plane-wave DFT calculation with PBE-GGA was carried out for a relaxed NbIn2WCl crystal.

Lattice parameters (Å, degrees): 5.648 5.648 4.669 90.00 90.00 90.00
Space group P4/mmm (No. 123)
Asymmetric unit:
1 Nb 0.000 0.000 0.000
2 In 0.000 0.500 0.000
3 W 0.000 0.000 0.500
4 Cl 0.500 0.500 0.500

Uncorrected formation energy values, unit eV/atom, following the record order: -1.3345; -1.2312; 0.8781; 1.3662; 0.2834; 0.6250; -1.1023; 1.0854.